A relaxed RbLa2Bi2 crystal. Source: Alexandria via LeMat-Bulk, functional PBE.

Calculated values
Calculated volume in Å³/atom: 37.35
E_tot in eV/f.u.: -21.78
DOS(E_F) in states/eV per cell: 8.31
Excess energy over the best structure of this formula in the dataset in meV per atom: 0
ΔH_f (0 K) in meV/atom: -639

abc: 9.4211 9.4211 4.2078
angles: 90.00 90.00 90.00
Space group P4/mbm (No. 127)
Symmetry-distinct sites (fractional):
Rb  0.0000  0.0000  0.0000 [2 per cell]
La  0.1399  0.3601  0.5000 [4 per cell]
Bi  0.1533  0.6533  0.0000 [4 per cell]

---

A relaxed Rb2LaBiS4 crystal. Source: Alexandria via LeMat-Bulk, functional PBE.

Calculated values
Calculated volume in Å³/atom: 30.26
Formation energy (no corrections) in eV/atom: -1.34
E_tot in eV/f.u.: -37.97
DOS(E_F) in states/eV per cell: 0.00

abc: 7.3598 4.2682 8.0904
angles: 90.00 107.71 90.00
Space group P2/m (No. 10)
Symmetry-distinct sites (fractional):
Rb  0.0000  0.0000  0.0000 [1 per cell]
Rb  0.5000  0.5000  0.0000 [1 per cell]
La  0.0000  0.5000  0.5000 [1 per cell]
Bi  0.5000  0.0000  0.5000 [1 per cell]
S  0.2356  0.0000  0.6990 [2 per cell]
S  0.2695  0.5000  0.3005 [2 per cell]

---

A relaxed Rb3La3BiS8 crystal. Source: Alexandria via LeMat-Bulk, functional PBE.

Calculated values
Calculated volume in Å³/atom: 32.61
Formation energy (no corrections) in eV/atom: -1.53
E_tot in eV/f.u.: -77.52
DOS(E_F) in states/eV per cell: 6.84

abc: 8.4931 8.4931 23.4911
angles: 90.00 90.00 120.00
Space group R-3m (No. 166, hexagonal axes)
Symmetry-distinct sites (fractional):
Rb  0.0000  0.5000  0.0000 [9 per cell]
La  0.0000  0.5000  0.5000 [9 per cell]
Bi  0.0000  0.0000  0.5000 [3 per cell]
S  0.0000  0.0000  0.2317 [6 per cell]
S  0.0147  0.5074  0.2307 [18 per cell]

---

A relaxed Rb3LaBi2S6 crystal. Source: Alexandria via LeMat-Bulk, functional PBE.

Calculated values
Calculated volume in Å³/atom: 29.98
Formation energy (no corrections) in eV/atom: -1.15
E_tot in eV/f.u.: -54.21
DOS(E_F) in states/eV per cell: 0.00

abc: 7.3385 12.7094 8.0921
angles: 90.00 107.58 90.00
Space group C2/m (No. 12)
Symmetry-distinct sites (fractional):
Rb  0.0000  0.0000  0.0000 [2 per cell]
Rb  0.0000  0.3323  0.0000 [4 per cell]
La  0.0000  0.5000  0.5000 [2 per cell]
Bi  0.0000  0.1666  0.5000 [4 per cell]
S  0.2294  0.0000  0.6999 [4 per cell]
S  0.2351  0.3314  0.6996 [8 per cell]

---

A relaxed Rb3La2BiSe6 crystal. Source: Alexandria via LeMat-Bulk, functional PBE.

Calculated values
Calculated volume in Å³/atom: 34.05
Formation energy (no corrections) in eV/atom: -1.47
E_tot in eV/f.u.: -55.21
DOS(E_F) in states/eV per cell: 0.00

abc: 7.6747 13.2910 8.4092
angles: 90.00 107.71 90.00
Space group C2/m (No. 12)
Symmetry-distinct sites (fractional):
Rb  0.0000  0.0000  0.0000 [2 per cell]
Rb  0.0000  0.3342  0.0000 [4 per cell]
La  0.0000  0.1667  0.5000 [4 per cell]
Bi  0.0000  0.5000  0.5000 [2 per cell]
Se  0.2324  0.3351  0.7022 [8 per cell]
Se  0.2374  0.0000  0.7019 [4 per cell]

---

A relaxed Rb2LaBiSe4 crystal. Source: Alexandria via LeMat-Bulk, functional PBE.

Calculated values
Calculated volume in Å³/atom: 33.81
Formation energy (no corrections) in eV/atom: -1.30
E_tot in eV/f.u.: -35.08
DOS(E_F) in states/eV per cell: 0.00

abc: 7.6299 4.4209 8.4151
angles: 90.00 107.67 90.00
Space group P2/m (No. 10)
Symmetry-distinct sites (fractional):
Rb  0.0000  0.0000  0.0000 [1 per cell]
Rb  0.5000  0.5000  0.0000 [1 per cell]
La  0.0000  0.5000  0.5000 [1 per cell]
Bi  0.5000  0.0000  0.5000 [1 per cell]
Se  0.2372  0.0000  0.7025 [2 per cell]
Se  0.2692  0.5000  0.2979 [2 per cell]